Entry 1:
Compound: K2TlW
Source: the Alexandria database
Functional: PBE
Structure: optimized geometry

* energy above the lowest structure with this stoichiometry: 1.03 eV/f.u.
* DFT formation energy: 28.53 kcal/mol of atoms
* mass density: 7.16 g/cm³
* space-group type: Cmmm
* DFT total energy: -3.14 eV per atom

abc: 6.718 6.718 2.984
angles: 90.00 90.00 126.51
Each line ends with the local moment (μB).
Atoms (fractional coordinates):
Tl: 0.500 0.000 0.500  -0.02
K: 0.500 0.500 0.000  0.00
K: 0.000 0.000 0.000  0.00
W: 0.000 0.500 0.500  0.43



Entry 2:
Compound: PaTaAs
Source: the Alexandria database
Functional: PBE
Structure: optimized geometry

* energy above the lowest structure with this stoichiometry: 0.56 eV/f.u.
* DFT formation energy: -4.30 kcal/mol of atoms
* mass density: 12.76 g/cm³
* space-group type: P-6m2
* DFT total energy: -8.85 eV per atom

abc: 3.532 4.551 4.551
angles: 120.00 90.00 90.00
Atoms (fractional coordinates):
Ta: 0.167 0.333 0.667
Pa: 0.667 0.667 0.333
As: 0.167 0.000 0.000



Entry 3:
Compound: LaAgSeN2
Source: the Alexandria database
Functional: PBE
Structure: optimized geometry

* energy above the lowest structure with this stoichiometry: 0.00 eV/f.u.
* mass density: 6.44 g/cm³
* uncorrected formation energy: 0.61 eV/atom
* space-group type: P4/mmm
* DFT total energy: -4.97 eV per atom

abc: 4.289 4.289 4.956
angles: 90.00 90.00 90.00
Each line ends with the local moment (μB).
Atoms (fractional coordinates):
N: 0.000 0.500 0.000  0.48
Se: 0.000 0.000 0.500  0.06
La: 0.500 0.500 0.500  -0.02
Ag: 0.000 0.000 0.000  0.03
N: 0.500 0.000 0.000  0.48



> What is the mass density in the first record?

7.16 g/cm³



> Among the records above, which one has the highest DFT total energy?

K2TlW



> Which formula does entry 3 have?

LaAgSeN2